! SCAN BeZn2Fe, single point on PBEsol structure; values from VASP
&SYSTEM
  ibrav = 0, nat = 4, ntyp = 3
/
ATOMIC_SPECIES
Be 9.01 Be.upf
Zn 65.41 Zn.upf
Fe 55.84 Fe.upf
ATOMIC_POSITIONS crystal
Be 0.5060 0.5060 0.4821
Zn 0.9945 0.9945 0.0166
Zn 0.7562 0.7562 0.7314
Fe 0.2433 0.2433 0.2700
CELL_PARAMETERS angstrom
-1.0715 0.5222 2.2441
0.5703 -1.4062 2.0381
6.1035 4.8521 3.2236
! - E (eV for the cell shown) = -49.298

=====

! SCAN Zr3BeFe, single point on PBEsol structure; values from VASP
&SYSTEM
  ibrav = 0, nat = 5, ntyp = 3
/
ATOMIC_SPECIES
Be 9.01 Be.upf
Fe 55.84 Fe.upf
Zr 91.22 Zr.upf
ATOMIC_POSITIONS crystal
Be 0.5000 0.5000 0.5000
Fe 0.0000 0.0000 0.0000
Zr 0.0000 0.5000 0.0000
Zr 0.0000 0.0000 0.5000
Zr 0.5000 0.0000 0.0000
CELL_PARAMETERS angstrom
-4.0884 -2.0646 0.9696
2.2752 -3.8332 1.4311
0.1628 1.7210 4.3508
! - E (eV for the cell shown) = -111.904

=====

! SCAN Zr2BeFe, single point on PBEsol structure; values from VASP
&SYSTEM
  ibrav = 0, nat = 4, ntyp = 3
/
ATOMIC_SPECIES
Be 9.01 Be.upf
Fe 55.84 Fe.upf
Zr 91.22 Zr.upf
ATOMIC_POSITIONS crystal
Be 0.5000 0.5000 0.0000
Fe 0.5000 0.5000 0.5000
Zr 0.0000 0.0000 0.7487
Zr 0.0000 0.0000 0.2513
CELL_PARAMETERS angstrom
3.1498 0.0000 0.0000
0.0000 3.1498 0.0000
0.0000 0.0000 6.1803
! - E (eV for the cell shown) = -84.498

=====

! SCAN Zr2BeFe, single point on PBEsol structure; values from VASP
&SYSTEM
  ibrav = 0, nat = 4, ntyp = 3
/
ATOMIC_SPECIES
Be 9.01 Be.upf
Fe 55.84 Fe.upf
Zr 91.22 Zr.upf
ATOMIC_POSITIONS crystal
Be 0.3086 0.0000 0.4912
Fe 0.4372 0.5000 0.7505
Zr 0.0160 0.0000 0.9079
Zr 0.7382 0.5000 0.3504
CELL_PARAMETERS angstrom
3.3534 0.0000 -0.0320
0.0000 3.8354 0.0000
-1.6210 0.0000 4.9232
! - E (eV for the cell shown) = -84.318

=====

! SCAN Zr2BeFe, single point on PBEsol structure; values from VASP
&SYSTEM
  ibrav = 0, nat = 4, ntyp = 3
/
ATOMIC_SPECIES
Be 9.01 Be.upf
Fe 55.84 Fe.upf
Zr 91.22 Zr.upf
ATOMIC_POSITIONS crystal
Be 0.5000 0.5000 0.0000
Fe 0.2500 0.7500 0.5000
Zr 0.0000 0.0000 0.0000
Zr 0.7500 0.2500 0.5000
CELL_PARAMETERS angstrom
3.7427 0.0000 0.0000
0.0000 3.7427 0.0000
-1.8714 -1.8714 4.3700
! - E (eV for the cell shown) = -83.439

=====

! SCAN ZrBe2Fe, single point on PBEsol structure; values from VASP
&SYSTEM
  ibrav = 0, nat = 4, ntyp = 3
/
ATOMIC_SPECIES
Be 9.01 Be.upf
Fe 55.84 Fe.upf
Zr 91.22 Zr.upf
ATOMIC_POSITIONS crystal
Be 0.0000 0.0000 0.8188
Be 0.0000 0.0000 0.1812
Fe 0.5000 0.5000 0.0000
Zr 0.5000 0.5000 0.5000
CELL_PARAMETERS angstrom
2.6879 0.0000 0.0000
0.0000 3.0711 0.0000
0.0000 0.0000 5.7508
! - E (eV for the cell shown) = -57.873
! - ΔE to the lowest computed polymorph (meV per atom) = 0

=====

! SCAN ZrBeFe, single point on PBEsol structure; values from VASP
&SYSTEM
  ibrav = 0, nat = 3, ntyp = 3
/
ATOMIC_SPECIES
Be 9.01 Be.upf
Fe 55.84 Fe.upf
Zr 91.22 Zr.upf
ATOMIC_POSITIONS crystal
Be 0.0000 0.0000 0.0000
Fe 0.0000 0.3333 0.6667
Zr 0.5000 0.6667 0.3333
CELL_PARAMETERS angstrom
3.2376 0.0000 0.0000
0.0000 3.7885 0.0000
0.0000 -1.8942 3.2809
! - E (eV for the cell shown) = -53.172

=====

! SCAN ZrBe2Fe, single point on PBEsol structure; values from VASP
&SYSTEM
  ibrav = 0, nat = 4, ntyp = 3
/
ATOMIC_SPECIES
Be 9.01 Be.upf
Fe 55.84 Fe.upf
Zr 91.22 Zr.upf
ATOMIC_POSITIONS crystal
Be 0.0503 0.1005 0.1503
Be 0.7466 0.4933 0.2403
Fe 0.4557 0.9113 0.3673
Zr 0.2474 0.4948 0.7420
CELL_PARAMETERS angstrom
-3.0838 1.8272 -0.5679
0.1729 -2.4946 2.6308
2.1955 4.0885 1.2333
! - E (eV for the cell shown) = -57.516
! - ΔE to the lowest computed polymorph (meV per atom) = 89

=====

! SCAN BeGa2GeI, single point on PBEsol structure; values from VASP
&SYSTEM
  ibrav = 0, nat = 5, ntyp = 4
/
ATOMIC_SPECIES
I 126.90 I.upf
Be 9.01 Be.upf
Ge 72.64 Ge.upf
Ga 69.72 Ga.upf
ATOMIC_POSITIONS crystal
I 0.0000 0.0000 0.5000
Be 0.0000 0.0000 0.0000
Ge 0.5000 0.5000 0.5000
Ga 0.0000 0.5000 0.0000
Ga 0.5000 0.0000 0.0000
CELL_PARAMETERS angstrom
4.4323 0.0000 0.0000
0.0000 4.4323 0.0000
0.0000 0.0000 5.4547
! - E (eV for the cell shown) = -90.054
! - E_form (uncorrected) (eV per atom) = 0.564

=====

! SCAN Be2GaGeW, single point on PBEsol structure; values from VASP
&SYSTEM
  ibrav = 0, nat = 5, ntyp = 4
/
ATOMIC_SPECIES
Be 9.01 Be.upf
Ge 72.64 Ge.upf
Ga 69.72 Ga.upf
W 183.84 W.upf
ATOMIC_POSITIONS crystal
Be 0.0000 0.5000 0.0000
Be 0.5000 0.0000 0.0000
Ge 0.0000 0.0000 0.0000
Ga 0.0000 0.0000 0.5000
W 0.5000 0.5000 0.5000
CELL_PARAMETERS angstrom
-2.6071 -2.9585 -0.0709
1.4242 -1.1716 -3.4862
3.3208 -2.9828 2.3591
! - E (eV for the cell shown) = -106.681

=====

! SCAN HfBe2Ga, single point on PBEsol structure; values from VASP
&SYSTEM
  ibrav = 0, nat = 8, ntyp = 3
/
ATOMIC_SPECIES
Be 9.01 Be.upf
Hf 178.49 Hf.upf
Ga 69.72 Ga.upf
ATOMIC_POSITIONS crystal
Be 0.6250 0.3750 0.7500
Be 0.1250 0.3750 0.7500
Be 0.6250 0.8750 0.2500
Be 0.6250 0.3750 0.2500
Hf 0.0000 0.0000 0.0000
Hf 0.2500 0.7500 0.5000
Ga 0.5000 0.5000 0.0000
Ga 0.7500 0.2500 0.5000
CELL_PARAMETERS angstrom
3.9644 0.0000 0.0000
0.0000 3.9644 0.0000
-1.9822 -1.9822 7.5625
! - E (eV for the cell shown) = -173.384

=====

! SCAN HfBeGa2O, single point on PBEsol structure; values from VASP
&SYSTEM
  ibrav = 0, nat = 5, ntyp = 4
/
ATOMIC_SPECIES
Be 9.01 Be.upf
Hf 178.49 Hf.upf
O 16.00 O.upf
Ga 69.72 Ga.upf
ATOMIC_POSITIONS crystal
Be 0.5000 0.0000 0.0000
Hf 0.0000 0.0000 0.0000
O 0.5000 0.5000 0.5000
Ga 0.0000 0.0000 0.5000
Ga 0.0000 0.5000 0.0000
CELL_PARAMETERS angstrom
4.7303 0.0000 0.0000
0.0000 5.2150 0.0000
0.0000 0.0000 5.2150
! - E (eV for the cell shown) = -98.434
! - E_form (uncorrected) (eV per atom) = 1.503